No. 1
Ca2ErCd12Ag3 after structural relaxation. Source: Alexandria via LeMat-Bulk, functional PBE.

Summary:
total magnetization: 0.000 Bohr magnetons per cell
VASP energy: -1.4852 eV/atom
N(E_F): 27.9 states/eV per cell
E_form: 76 meV per atom

```
data_Ca2ErCd12Ag3
_symmetry_space_group_name_H-M 'R -3 m'
_symmetry_Int_Tables_number 166
_symmetry_space_group_name_Hall '-R 3 2"'
_cell_length_a 8.8928
_cell_length_b 8.8928
_cell_length_c 21.4834
_cell_angle_alpha 90.00
_cell_angle_beta 90.00
_cell_angle_gamma 120.00
loop_
_atom_site_label
_atom_site_fract_x
_atom_site_fract_y
_atom_site_fract_z
Ca1 0.0000 0.0000 0.0819
Er1 0.0000 0.0000 0.5000
Cd1 0.0558 0.5279 0.2715
Cd2 0.0916 0.5458 0.8688
Ag1 0.0000 0.5000 0.0000
```

=====

No. 2
Tb2Y2ErSc after structural relaxation. Source: Alexandria via LeMat-Bulk, functional PBE.

Summary:
total magnetization: 0.000 Bohr magnetons per cell
VASP energy: -5.4465 eV/atom
N(E_F): 21.9 states/eV per cell
E_form: 67 meV per atom

```
data_Tb2Y2ErSc
_symmetry_space_group_name_H-M 'P m m a'
_symmetry_Int_Tables_number 51
_cell_length_a 6.954
_cell_length_b 5.526
_cell_length_c 9.543
_cell_angle_alpha 90.00
_cell_angle_beta 90.00
_cell_angle_gamma 90.00
loop_
_symmetry_equiv_pos_as_xyz
'x,y,z'
'-x,-y,-z'
'-x+1/2,-y,z'
'x+1/2,y,-z'
'x+1/2,-y,-z'
'-x+1/2,y,z'
'-x,y,-z'
'x,-y,z'
loop_
_atom_site_label
_atom_site_fract_x
_atom_site_fract_y
_atom_site_fract_z
Tb1 0.250 0.000 0.150
Tb2 0.250 0.500 0.684
Y1 0.000 0.000 0.500
Y2 0.250 0.500 0.343
Er1 0.000 0.500 0.000
Sc1 0.250 0.000 0.822
```

=====

No. 3
AcPm3Pr3 after structural relaxation. Source: Alexandria via LeMat-Bulk, functional PBE.

Summary:
total magnetization: 0.000 Bohr magnetons per cell
VASP energy: -4.6323 eV/atom
N(E_F): 23.9 states/eV per cell
E_form: 39 meV per atom
E above lowest polymorph: 0.017 eV per atom

```
data_AcPm3Pr3
_symmetry_space_group_name_H-M 'P 63/m'
_symmetry_Int_Tables_number 176
_symmetry_space_group_name_Hall '-P 6c'
_cell_length_a 9.9654
_cell_length_b 9.9654
_cell_length_c 6.0201
_cell_angle_alpha 90.00
_cell_angle_beta 90.00
_cell_angle_gamma 120.00
loop_
_atom_site_label
_atom_site_fract_x
_atom_site_fract_y
_atom_site_fract_z
Ac1 0.3333 0.6667 0.2500
Pm1 0.0440 0.2323 0.2500
Pr1 0.0938 0.4703 0.7500
```

=====

No. 4
Ca2ZrMn after structural relaxation. Source: Alexandria via LeMat-Bulk, functional PBE.

Summary:
total magnetization: 4.440 Bohr magnetons per cell
VASP energy: -4.9090 eV/atom
N(E_F): 5.8 states/eV per cell
E_form: 521 meV per atom
E above lowest polymorph: 0.322 eV per atom

```
data_Ca2ZrMn
_symmetry_space_group_name_H-M 'P 4/m m m'
_symmetry_Int_Tables_number 123
_symmetry_space_group_name_Hall '-P 4 2'
_cell_length_a 3.357
_cell_length_b 3.357
_cell_length_c 9.571
_cell_angle_alpha 90.00
_cell_angle_beta 90.00
_cell_angle_gamma 90.00
loop_
_atom_site_label
_atom_site_fract_x
_atom_site_fract_y
_atom_site_fract_z
Ca1 0.000 0.000 0.229
Zr1 0.500 0.500 0.500
Mn1 0.500 0.500 0.000
```

=====

No. 5
ZrTl2Br2Cl4 after structural relaxation. Source: Alexandria via LeMat-Bulk, functional PBE.

Summary:
total magnetization: 0.000 Bohr magnetons per cell
VASP energy: -4.0621 eV/atom
N(E_F): 0.0 states/eV per cell
formation energy without anion corrections: -1394 meV/atom

```
data_ZrTl2Br2Cl4
_symmetry_space_group_name_H-M 'C 1 2/m 1'
_symmetry_Int_Tables_number 12
_cell_length_a 12.934
_cell_length_b 7.248
_cell_length_c 7.640
_cell_angle_alpha 90.00
_cell_angle_beta 124.10
_cell_angle_gamma 90.00
loop_
_symmetry_equiv_pos_as_xyz
'x,y,z'
'-x,-y,-z'
'-x,y,-z'
'x,-y,z'
'x+1/2,y+1/2,z'
'-x+1/2,-y+1/2,-z'
'-x+1/2,y+1/2,-z'
'x+1/2,-y+1/2,z'
loop_
_atom_site_label
_atom_site_fract_x
_atom_site_fract_y
_atom_site_fract_z
Zr1 0.000 0.000 0.000
Tl1 0.248 0.000 0.771
Br1 0.240 0.000 0.320
Cl1 0.045 0.242 0.820
```

=====

No. 6
AlP2Au after structural relaxation. Source: Alexandria via LeMat-Bulk, functional PBE.

Summary:
total magnetization: 0.000 Bohr magnetons per cell
VASP energy: -4.0451 eV/atom
N(E_F): 4.3 states/eV per cell
E_form: 415 meV per atom

```
data_AlP2Au
_symmetry_space_group_name_H-M 'I 4/m m m'
_symmetry_Int_Tables_number 139
_symmetry_space_group_name_Hall '-I 4 2'
_cell_length_a 4.278
_cell_length_b 4.278
_cell_length_c 7.184
_cell_angle_alpha 90.00
_cell_angle_beta 90.00
_cell_angle_gamma 90.00
loop_
_atom_site_label
_atom_site_fract_x
_atom_site_fract_y
_atom_site_fract_z
Al1 0.000 0.000 0.000
P1 0.000 0.500 0.250
Au1 0.000 0.000 0.500
```